Compound: ThNpGe
Source: the Open Quantum Materials Database
Functional: PBE
Structure: relaxed

abc: 6.957 6.957 6.957
angles: 90.00 90.00 90.00
Fractional positions:
Th 0.000 0.000 0.000
Th 0.000 0.500 0.500
Th 0.500 0.000 0.500
Th 0.500 0.500 0.000
Np 0.000 0.000 0.500
Np 0.000 0.500 0.000
Np 0.500 0.000 0.000
Np 0.500 0.500 0.500
Ge 0.250 0.250 0.750
Ge 0.250 0.750 0.250
Ge 0.750 0.250 0.250
Ge 0.750 0.750 0.750

Calculated values
SG: No. 216
Relative energy among the computed polymorphs, eV/atom: 0.000
Calculated density, Mg/m³: 10.7